Entry 1:
Computed, not measured: crystalline CuAg2AuCl6 at its relaxed geometry at the PBE level of DFT.

a = 7.6316 Å, b = 6.6937 Å, c = 7.2354 Å
α = 61.29°, β = 63.27°, γ = 54.09°
Closest atoms and distances in Å follow each position.
Sites, in units of the cell vectors:
Cu  0.2859  0.3277  0.0130  2 Cl 2.18-2.22
Ag  0.9737  0.0464  0.9157  4 Cl 2.58-2.71
Ag  0.5721  0.5739  0.4124  3 Cl 2.55-2.80
Cl  0.6534  0.1917  0.2650  1 Au 2.38
Cl  0.2729  0.9665  0.2117  1 Cu 2.18
Cl  0.3533  0.6616  0.8187  1 Cu 2.22
Cl  0.9679  0.5493  0.3173  1 Au 2.39, 1 Cu 2.65
Cl  0.7035  0.0840  0.7426  1 Au 2.39
Cl  0.0382  0.4459  0.7890  1 Au 2.37, 1 Cu 2.57, 1 Ag 2.65
Au  0.8407  0.8146  0.5298  4 Cl 2.37-2.39

Properties
As for the raw total energy: -2.8032 eV per atom. For the uncorrected formation energy, the calculation gives -388 meV/atom. The value obtained for the calculated volume is 255.12 Å³ per cell. The calculation puts the mass density at 4.484 g/cm3.

***

Entry 2:
Computed, not measured: crystalline PPbAu2 at its relaxed geometry at the PBE level of DFT.

a = 3.1023 Å, b = 3.5663 Å, c = 7.4182 Å
α = 90.00°, β = 90.00°, γ = 90.00°
Closest atoms and distances in Å follow each position.
Sites, in units of the cell vectors:
Pb  0.5000  0.5000  0.7500  2 Pb 3.10, 8 Au 3.24
Au  0.0000  0.0000  0.4515  4 P 2.80, 3 Au 2.99-3.10
Au  0.0000  0.0000  0.0485  4 P 2.80, 3 Au 2.99-3.10
P  0.5000  0.5000  0.2500  8 Au 2.80, 2 P 3.10

Properties
The calculation puts the energy above the most stable polymorph in this dataset at 253 meV per atom. The value obtained for the formation energy is 0.2563 eV per atom. As for the raw total energy: -3.6619 eV per atom. Its density of states at the Fermi level is 0.465 states/eV/atom. The value obtained for the calculated volume is 82.07 Å³ per cell. The calculation puts the mass density at 12.789 g/cm3.

***

Entry 3:
Computed, not measured: crystalline Cr2ReSb at its relaxed geometry at the PBE level of DFT.

a = 5.0991 Å, b = 5.0991 Å, c = 5.0991 Å
α = 143.78°, β = 131.65°, γ = 61.88°
Closest atoms and distances in Å follow each position.
Sites, in units of the cell vectors:
Sb  0.2452  0.7452  0.5000  6 Cr 2.62-2.69, 2 Re 2.77
Re  0.5042  0.5042  0.0000  6 Cr 2.62-2.70, 2 Sb 2.77
Cr  0.9968  0.9968  0.0000  4 Re 2.62, 2 Cr 2.65, 2 Sb 2.69
Cr  0.7538  0.2538  0.5000  4 Sb 2.62, 2 Cr 2.65, 2 Re 2.70

Properties
As for the raw total energy: -8.5971 eV per atom. For the uncorrected formation energy, the calculation gives 357 meV/atom. Its density of states at the Fermi level is 0.920 states/eV/atom. The value obtained for the calculated volume is 57.91 Å³ per cell. The calculation puts the mass density at 11.813 g/cm3.

***

Entry 4:
Computed, not measured: crystalline PmAg2As2O6 at its relaxed geometry at the PBE level of DFT.

a = 6.0418 Å, b = 5.5993 Å, c = 6.9381 Å
α = 115.69°, β = 90.00°, γ = 122.65°
Closest atoms and distances in Å follow each position.
Sites, in units of the cell vectors:
O  0.7580  0.5159  0.5068  1 As 1.76
O  0.2938  0.1336  0.7769  1 As 1.78
O  0.8397  0.1336  0.7769  1 As 1.78
O  0.2420  0.4841  0.4932  1 As 1.76
O  0.7062  0.8664  0.2231  1 As 1.78
O  0.1603  0.8664  0.2231  1 As 1.78
Ag  0.6794  0.3588  0.1212  5 O 2.38-2.63
Ag  0.3206  0.6412  0.8788  5 O 2.38-2.63
As  0.0563  0.1125  0.2300  3 O 1.76-1.78
As  0.9437  0.8875  0.7700  3 O 1.76-1.78
Pm  0.5000  0.0000  0.5000  6 O 2.36-2.41

Properties
As for the raw total energy: -5.8306 eV per atom. For the uncorrected formation energy, the calculation gives -1330 meV/atom. Its density of states at the Fermi level is 0.263 states/eV/atom. The value obtained for the calculated volume is 169.43 Å³ per cell. The calculation puts the mass density at 5.945 g/cm3.

***

Entry 5:
Computed, not measured: crystalline EuMgPb at its relaxed geometry at the PBE level of DFT.

a = 3.8374 Å, b = 5.1298 Å, c = 5.1298 Å
α = 120.00°, β = 90.00°, γ = 90.00°
Closest atoms and distances in Å follow each position.
Sites, in units of the cell vectors:
Pb  0.1660  0.3333  0.6667  3 Mg 2.96
Eu  0.6669  0.6667  0.3333  6 Pb 3.53, 6 Mg 3.53, 2 Eu 3.84
Mg  0.1671  0.0000  0.0000  3 Pb 2.96

Properties
The value obtained for the formation energy is -0.3669 eV per atom. As for the raw total energy: -5.5593 eV per atom. Its density of states at the Fermi level is 2.139 states/eV/atom. The value obtained for the calculated volume is 87.45 Å³ per cell. The calculation puts the mass density at 7.281 g/cm3.

***

Entry 6:
Computed, not measured: crystalline AcLaAsAu at its relaxed geometry at the PBE level of DFT.

a = 5.4075 Å, b = 5.4075 Å, c = 5.4075 Å
α = 60.00°, β = 60.00°, γ = 60.00°
Closest atoms and distances in Å follow each position.
Sites, in units of the cell vectors:
Ac  0.7500  0.7500  0.7500  4 As 3.31, 4 Au 3.31
Au  0.0000  0.0000  0.0000  4 La 3.31, 4 Ac 3.31
La  0.2500  0.2500  0.2500  4 Au 3.31, 4 As 3.31
As  0.5000  0.5000  0.5000  4 Ac 3.31, 4 La 3.31

Properties
The value obtained for the formation energy is -0.8999 eV per atom. As for the raw total energy: -5.1406 eV per atom. Its density of states at the Fermi level is 1.314 states/eV/atom. The value obtained for the calculated volume is 111.81 Å³ per cell. The calculation puts the mass density at 9.472 g/cm3.